# 1
8
Lattice="-3.168 1.670 4.367 2.244 -4.084 3.190 2.431 1.279 4.926" Properties=species:S:1:pos:R:3 comment="LaHRh2 (PBE, optimized geometry)" e_above_lowest_polymorph_ev_per_fu=0.00 pbc="T T T"
Rh 0.462 -0.146 9.520
H -0.462 -1.207 3.778
H 2.107 -2.006 5.947
La -0.599 0.871 6.535
Rh 2.031 -0.953 7.315
La 0.000 0.000 0.000
Rh -0.310 0.441 3.282
Rh 0.833 -1.612 4.848

=====

# 2
Below is an optimized crystal structure of La3H12Rh5, with properties calculated at the PBE level.

The structure in extended XYZ format:
```
80
Lattice="-7.907 6.673 -0.714 -3.646 -9.708 -0.135 5.123 1.646 8.866" Properties=species:S:1:pos:R:3 pbc="T T T"
Rh -4.527 -6.621 0.812
H -2.282 -2.049 3.354
Rh -4.628 4.441 4.883
H -1.771 -3.241 0.660
Rh -3.954 3.337 -0.357
H 2.691 -2.622 7.243
La -6.657 1.570 0.522
H -4.819 -4.639 5.444
H -0.227 -2.713 5.046
H -4.167 1.763 0.426
H -5.856 -4.217 3.110
Rh -1.392 4.159 4.076
H -3.435 -5.223 0.565
Rh -3.215 -0.695 4.009
La -9.013 -1.236 0.383
H -2.150 -0.263 7.580
H -3.766 4.210 1.171
Rh -3.236 0.281 0.807
Rh -1.823 -4.854 -0.067
H -2.264 -3.153 7.592
H -4.148 0.659 4.664
La -2.467 1.765 6.153
H 3.390 1.964 8.700
H -0.574 2.828 4.908
La -5.919 -2.461 4.888
H -1.931 -7.590 3.438
La 0.227 -2.959 7.495
H -4.500 6.201 4.580
H -0.739 -5.044 8.487
H -5.944 -3.108 0.335
Rh 0.421 2.523 6.365
H -3.552 -8.112 0.624
H -0.486 1.719 7.683
H -9.820 -3.353 -0.682
H -4.697 -1.139 3.149
H -3.666 -1.559 5.486
H -4.281 -1.126 0.437
Rh 2.562 0.823 4.433
H -3.440 -5.127 3.307
La -0.511 1.072 3.129
Rh 0.738 -4.031 4.366
H -9.122 1.233 0.774
H -6.616 -0.886 1.001
H -2.878 6.722 7.394
H -2.765 0.169 2.531
H -7.636 -1.081 3.700
La -2.498 -3.750 5.173
La 2.583 -0.153 7.635
La -3.963 -3.154 1.865
Rh -1.903 5.231 7.206
Rh -6.852 -3.913 1.653
H -8.194 -2.827 2.129
H -0.422 -0.828 1.507
Rh -1.802 -5.830 3.134
Rh -5.777 -1.518 -0.424
H 1.764 1.438 5.889
H -6.203 1.324 2.971
La -3.932 2.361 2.845
H 1.205 -0.308 4.318
Rh -6.288 -0.446 2.705
Rh -5.355 1.006 5.941
H -5.691 3.655 -0.469
H -2.996 3.834 7.453
H -1.733 -0.251 4.868
Rh -1.075 -2.395 2.077
H -1.612 3.250 2.574
H -6.008 -0.562 6.511
Rh -0.142 -0.944 5.312
Rh 0.000 0.000 0.000
H -4.659 1.852 7.357
H -2.664 -5.599 6.847
La -0.337 -6.426 6.442
H 1.301 -4.600 5.945
H -0.622 -5.162 4.305
H -7.731 3.211 2.073
H -5.808 3.772 3.713
H 0.186 -0.503 7.017
La -6.094 5.037 1.575
Rh -3.194 -1.670 7.211
H -2.990 3.738 4.710
```

=====

# 3
Below is an optimized crystal structure of La6HRh2, with properties calculated at the PBE level.

The structure in extended XYZ format:
```
18
Lattice="-5.966 2.965 -0.279 -3.172 -6.499 -1.234 -1.046 -1.403 10.077" Properties=species:S:1:pos:R:3 pbc="T T T"
Rh -7.001 -0.032 1.872
La -2.666 -2.442 5.262
La -4.609 0.800 0.285
H -0.523 -0.701 5.039
Rh -3.183 -4.904 6.693
La -7.518 -2.494 3.303
H -4.569 -1.767 -0.756
La -3.026 -2.998 8.939
La -5.575 -5.736 8.280
La -6.129 -2.136 6.856
La -4.944 0.296 3.972
Rh -3.757 -0.609 7.354
La -1.278 -0.162 2.480
Rh -6.427 -4.327 1.210
La -7.158 -1.938 -0.374
La -5.240 -5.232 4.593
La -8.906 -4.774 6.085
La -4.056 -2.800 1.708
```

=====

# 4
Below is an optimized crystal structure of LaH10Rh3, with properties calculated at the PBE level.

The structure in extended XYZ format:
```
28
Lattice="5.832 0.000 3.367 1.944 5.498 3.367 0.000 0.000 6.734" Properties=species:S:1:pos:R:3 pbc="T T T"
H 1.329 3.760 4.432
H 3.888 1.043 6.734
H 3.083 2.180 8.127
La 1.944 1.375 3.367
Rh 2.052 1.451 6.734
Rh 2.970 4.047 8.323
La 5.832 4.124 10.101
H 3.083 2.180 5.341
H 4.602 1.739 3.367
Rh 5.723 4.047 6.734
H 4.692 3.318 8.127
Rh 4.806 1.451 8.323
Rh 2.970 4.047 5.144
H 2.279 3.318 6.734
H 3.988 0.000 2.302
H 0.000 0.000 2.129
H 1.329 3.760 2.302
H 1.844 0.000 5.669
H 3.988 0.000 4.432
H 5.497 2.180 6.734
H 4.692 3.318 5.341
H 0.615 1.739 1.065
Rh 4.806 1.451 5.144
H 1.844 0.000 1.065
H 3.888 4.456 6.734
H 0.615 1.739 5.669
H 0.000 0.000 4.605
H 3.173 3.760 3.367
```

=====

# 5
Below is an optimized crystal structure of LaH7Rh4, with properties calculated at the PBE level.

The structure in extended XYZ format:
```
24
Lattice="-4.354 -1.698 0.181 0.419 -1.622 -5.145 3.372 -8.336 2.902" Properties=species:S:1:pos:R:3 pbc="T T T"
H -0.845 -3.265 -4.228
Rh -1.598 -3.285 -2.597
H -0.634 -4.062 -1.195
H -3.197 -4.043 -2.253
H 2.126 -6.226 -1.725
H -2.595 -4.688 0.764
H 0.774 -8.905 1.041
Rh 2.169 -6.230 -0.048
Rh 0.128 -7.289 1.652
Rh 2.701 -7.870 -2.334
H 0.604 -7.122 -0.129
H 1.014 -4.921 0.070
H -1.681 -6.947 1.551
H -1.062 -9.320 -0.416
Rh -1.485 -3.303 0.265
H -1.887 -2.328 -1.249
Rh 1.076 -3.529 -0.988
H 1.414 -4.467 -2.338
La -0.319 -6.297 -2.333
La -0.042 -0.455 -1.259
H 1.613 -9.342 -2.112
Rh 0.941 -3.520 -3.848
Rh 0.682 -8.921 -0.634
H -2.660 -2.333 -3.609
```

=====

# 6
Below is an optimized crystal structure of LaH8Rh3, with properties calculated at the PBE level.

The structure in extended XYZ format:
```
12
Lattice="4.730 0.000 0.000 -2.365 4.097 0.000 0.000 0.000 5.735" Properties=species:S:1:pos:R:3 pbc="T T T"
H 0.000 2.731 2.410
H 2.365 1.366 3.325
Rh 2.365 1.365 5.003
H 3.074 0.219 0.830
H 1.018 1.325 0.830
H 3.003 2.553 0.830
H 1.347 2.772 4.905
H -0.638 1.544 4.905
La 0.000 0.000 2.868
Rh 0.000 2.731 0.732
Rh 0.000 0.000 0.000
H -0.709 3.877 4.905
```

=====

# 7
Below is an optimized crystal structure of La2H8Rh3, with properties calculated at the PBE level.

The structure in extended XYZ format:
```
13
Lattice="5.131 0.000 0.155 0.000 5.746 0.000 -1.914 -2.873 4.628" Properties=species:S:1:pos:R:3 pbc="T T T"
H 1.500 4.619 0.933
H 1.717 1.746 3.849
H -0.776 2.873 3.668
Rh 0.000 1.440 0.000
La 0.379 0.000 2.901
Rh 0.000 4.306 0.000
H 3.993 0.000 1.115
H 3.125 0.000 3.685
H 0.092 2.873 1.098
H 1.500 1.127 0.933
La 2.837 2.873 1.881
Rh 2.565 0.000 0.077
H 1.717 -1.746 3.849
```

=====

# 8
Below is an optimized crystal structure of LaH3Rh, with properties calculated at the PBE level.

The structure in extended XYZ format:
```
10
Lattice="3.776 0.000 0.000 0.000 3.822 0.000 -0.252 0.000 9.038" Properties=species:S:1:pos:R:3 pbc="T T T"
H 3.100 0.000 0.076
H 3.018 0.000 2.787
H 2.973 1.911 4.595
H 2.891 1.911 7.305
H 2.982 1.911 1.614
La 0.972 0.000 7.530
La 1.099 1.911 3.011
H 2.856 0.000 6.133
Rh 2.951 0.000 4.466
Rh 2.825 1.911 8.985
```

=====

# 9
Below is an optimized crystal structure of La12H5Rh3, with properties calculated at the PBE level.

The structure in extended XYZ format:
```
80
Lattice="13.721 0.000 0.000 -4.574 12.936 0.000 -4.574 -6.468 11.203" Properties=species:S:1:pos:R:3 pbc="T T T"
La 7.354 -1.012 2.469
La 0.494 8.070 7.712
Rh 3.430 0.000 8.402
Rh 3.430 7.276 7.002
La -3.455 10.862 1.346
Rh -3.430 -2.425 9.802
H 5.717 3.234 8.402
H -4.574 3.234 5.601
La 3.406 5.436 4.478
H 4.574 6.468 0.000
La -0.583 8.257 1.123
La 2.328 8.718 4.614
La 4.079 -1.602 3.491
H 1.143 -3.234 8.402
La 10.266 3.106 3.133
La 1.168 1.032 6.725
La 1.703 1.789 10.080
Rh 10.290 0.000 2.801
H -1.143 3.234 2.801
La -4.615 5.121 10.845
H 4.574 -3.234 5.601
La -0.494 1.012 2.469
La 5.741 2.074 1.346
La 9.730 6.390 2.111
La 6.819 3.598 4.256
H 5.717 5.659 4.201
H 5.717 -4.042 9.802
La -2.245 2.870 6.947
La -2.781 7.480 8.734
La 1.703 -1.867 10.215
H 6.860 0.000 0.000
La -1.119 7.500 4.478
H 1.143 4.042 9.802
La 6.819 11.589 0.358
La 4.615 2.250 6.589
H -1.143 10.510 1.400
La 2.870 4.679 1.123
La 2.245 -2.250 6.589
La 6.277 6.546 2.111
La 2.781 1.602 3.491
La -4.079 5.878 5.959
H 8.004 -0.808 7.002
La -1.168 -3.362 8.070
La 8.653 0.590 5.244
Rh 8.004 4.042 1.400
La 2.870 8.335 0.988
La -5.157 0.078 9.092
Rh -3.430 2.425 9.802
H -3.430 7.276 4.201
H 3.430 9.702 2.801
Rh 8.004 8.893 1.400
La 5.692 -1.032 6.725
La 5.157 1.867 10.215
Rh 5.717 0.808 4.201
H 2.287 3.234 5.601
La 5.068 5.456 8.734
H -1.143 0.808 7.002
Rh 1.143 6.468 2.801
La 1.793 4.866 7.712
La -0.583 4.601 0.988
Rh -5.717 6.468 8.402
La 8.028 -4.394 9.857
La 5.741 9.830 3.133
La -1.703 -0.078 9.092
La 9.106 -2.870 6.947
La 6.366 7.058 5.959
Rh 1.143 -0.808 4.201
H -2.287 6.468 0.000
La 5.157 -1.789 10.080
La -1.793 -0.590 5.244
H -2.287 -3.234 5.601
La -4.532 9.338 4.256
H 0.000 0.000 0.000
La -5.692 3.362 8.070
La 9.188 1.347 0.358
La -0.041 4.217 4.614
Rh -1.143 5.659 7.002
H 3.430 2.425 1.400
La -1.168 4.394 9.857
La -2.245 -5.121 10.845
```

=====

# 10
Below is an optimized crystal structure of LaH2Rh2, with properties calculated at the PBE level.

The structure in extended XYZ format:
```
5
Lattice="3.787 0.000 0.000 0.000 3.787 0.000 1.894 1.894 4.546" Properties=species:S:1:pos:R:3 pbc="T T T"
La 0.000 0.000 0.000
Rh 1.894 1.894 1.674
Rh 3.787 3.787 2.872
H 1.894 3.787 2.273
H 3.787 1.894 2.273
```

=====

# 11
Below is an optimized crystal structure of LaH3Rh, with properties calculated at the PBE level.

The structure in extended XYZ format:
```
10
Lattice="5.263 0.000 -0.011 0.000 4.043 0.000 -4.880 0.000 5.781" Properties=species:S:1:pos:R:3 pbc="T T T"
H -2.440 2.078 2.890
Rh -2.440 0.256 2.890
H -1.145 2.259 5.071
H -0.913 0.237 3.589
Rh 0.000 2.278 0.000
H 1.295 0.237 2.181
La 0.191 2.258 2.885
La 2.631 0.237 -0.005
H 1.528 2.259 0.699
H 0.000 0.056 0.000
```

=====

# 12
Below is an optimized crystal structure of LaH3Rh, with properties calculated at the PBE level.

The structure in extended XYZ format:
```
5
Lattice="4.478 0.000 0.000 0.000 3.938 0.000 0.000 0.000 3.159" Properties=species:S:1:pos:R:3 pbc="T T T"
H 3.158 1.969 1.579
H 2.239 0.000 0.000
Rh 2.239 1.969 0.000
La 0.000 0.000 1.579
H 1.320 1.969 1.579
```

=====

What are the raw total energy values for these records? In order: -6.26; -4.94; -5.78; -4.50; -5.03; -4.73; -4.95; -4.93; -5.30; -5.60; -5.00; -4.88 eV/atom.